No. 1
! Rb2MgHg2, relaxed, DFT GGA-PBE; values from VASP
&SYSTEM
  ibrav = 0, nat = 5, ntyp = 3
/
ATOMIC_SPECIES
Mg 24.30 Mg.upf
Hg 200.59 Hg.upf
Rb 85.47 Rb.upf
CELL_PARAMETERS angstrom
-3.640 0.230 -6.157
-0.531 -7.136 0.047
-5.827 -3.160 -0.832
ATOMIC_POSITIONS angstrom
Mg 0.000 0.000 0.000
Hg -3.334 -3.355 -2.313
Hg -6.664 -6.711 -4.628
Rb -5.776 -3.191 -5.022
Rb -4.222 -6.875 -1.920
! Density of states at the Fermi level (states/eV/f.u.): 2.8
! Distance to the lowest polymorph of the same formula (meV/atom): 120
! ΔE_f (eV/atom): -0.0366

No. 2
! VPtI, relaxed, DFT GGA-PBE; values from VASP
&SYSTEM
  ibrav = 0, nat = 12, ntyp = 3
/
ATOMIC_SPECIES
I 126.90 I.upf
Pt 195.08 Pt.upf
V 50.94 V.upf
CELL_PARAMETERS angstrom
5.600 0.000 -0.005
0.000 3.497 0.000
-2.546 0.000 13.204
ATOMIC_POSITIONS angstrom
I 1.215 0.000 7.689
I 2.488 1.749 1.087
I -0.318 0.000 2.006
I -1.591 1.749 8.608
Pt -0.343 0.000 5.172
Pt -1.616 1.749 11.774
Pt 2.480 0.000 4.993
Pt 1.208 1.749 11.595
V 2.660 0.000 10.298
V 3.933 1.749 3.696
V -0.234 0.000 10.276
V 1.038 1.749 3.674
! Density of states at the Fermi level (states/eV/f.u.): 2.8
! Energy relative to the elements, uncorrected (eV/f.u.): 0.08
! Distance to the lowest polymorph of the same formula (meV/atom): 274